1.
{
  "formula": "Dy7Tm12Cd",
  "functional": "PBE",
  "state": "relaxed",
  "formation_enthalpy_0k_ev_per_atom": 0.07,
  "dos_at_fermi_per_ev_fu": 26.77,
  "final_energy_ev_per_atom": -4.268,
  "lattice_angstrom": [[8.495, 1.103, -0.920], [-2.257, 8.476, 0.283], [1.368, 4.344, 8.138]],
  "species": ["Dy", "Dy", "Dy", "Dy", "Dy", "Dy", "Dy", "Tm", "Tm", "Tm", "Tm", "Tm", "Tm", "Tm", "Tm", "Tm", "Tm", "Tm", "Tm", "Cd"],
  "fractional_positions": [[0.915, 0.837, 0.779], [0.325, 0.900, 0.135], [0.202, 0.794, 0.520], [0.500, 0.500, 0.500], [0.798, 0.206, 0.480], [0.675, 0.100, 0.865], [0.085, 0.163, 0.221], [0.096, 0.372, 0.766], [0.807, 0.380, 0.041], [0.462, 0.191, 0.323], [0.809, 0.565, 0.622], [0.298, 0.080, 0.718], [0.441, 0.363, 0.919], [0.559, 0.637, 0.081], [0.702, 0.920, 0.282], [0.191, 0.435, 0.378], [0.538, 0.809, 0.677], [0.193, 0.620, 0.959], [0.904, 0.628, 0.234], [0.000, 0.000, 0.000]]
}


2.
{
  "formula": "BaTl8Cd2",
  "functional": "PBE",
  "state": "relaxed",
  "formation_enthalpy_0k_ev_per_atom": 0.07,
  "dos_at_fermi_per_ev_fu": 7.01,
  "final_energy_ev_per_atom": -1.992,
  "lattice_angstrom": [[7.677, 0.000, 0.000], [0.000, 7.677, 0.000], [0.000, 0.000, 6.595]],
  "species": ["Ba", "Tl", "Tl", "Tl", "Tl", "Tl", "Tl", "Tl", "Tl", "Cd", "Cd"],
  "fractional_positions": [[0.500, 0.500, 0.500], [0.792, 0.792, 0.251], [0.792, 0.208, 0.749], [0.792, 0.792, 0.749], [0.792, 0.208, 0.251], [0.208, 0.792, 0.251], [0.208, 0.792, 0.749], [0.208, 0.208, 0.251], [0.208, 0.208, 0.749], [0.500, 0.000, 0.000], [0.000, 0.500, 0.000]]
}


3.
{
  "formula": "HRhW2",
  "functional": "PBE",
  "state": "relaxed",
  "dos_at_fermi_per_ev_fu": 4.47,
  "de_polymorph_ev_per_fu": 2.03,
  "final_energy_ev_per_atom": -8.342,
  "lattice_angstrom": [[0.793, -4.173, -0.189], [-2.868, -2.778, 1.462], [-2.161, -2.454, -2.718]],
  "species": ["H", "Rh", "W", "W"],
  "fractional_positions": [[0.000, 0.000, 0.000], [0.500, 0.500, 0.500], [0.250, 0.250, 0.250], [0.750, 0.750, 0.750]]
}